(1)
DFT (PBE) results for crystalline LaBPbN2 at its relaxed geometry.

Summary:
ΔE_f (raw)	2027.4	meV per atom
density of states at the Fermi level	5.57	states/eV per cell
SG	P4/mmm, No. 123

a b c (Å): 4.2546 4.2546 6.4450
angles (deg): 90.00 90.00 90.00
Positions (direct):
La1 0.0000 0.0000 0.0000
B1 0.5000 0.5000 0.0000
Pb1 0.0000 0.0000 0.5000
N1 0.0000 0.5000 0.5000
N2 0.5000 0.0000 0.5000

(2)
DFT (PBE) results for crystalline LaPmBN3 at its relaxed geometry.

Summary:
ΔE_f (raw)	-1161.7	meV per atom
SG	P6_3/mmc, No. 194

a b c (Å): 5.6854 5.6854 6.3442
angles (deg): 90.00 90.00 120.00
Positions (direct):
La1 0.3333 0.6667 0.2500
La2 0.6667 0.3333 0.7500
Pm1 0.0000 0.0000 0.0000
Pm2 0.0000 0.0000 0.5000
B1 0.3333 0.6667 0.7500
B2 0.6667 0.3333 0.2500
N1 0.1850 0.3699 0.7500
N2 0.1850 0.8150 0.7500
N3 0.3699 0.1850 0.2500
N4 0.6301 0.8150 0.7500
N5 0.8150 0.1850 0.2500
N6 0.8150 0.6301 0.2500

(3)
DFT (PBE) results for crystalline LaPmBN2 at its relaxed geometry.

Summary:
ΔE_f (raw)	-882.7	meV per atom
density of states at the Fermi level	2.90	states/eV per cell
SG	P2/m, No. 10

a b c (Å): 3.8581 4.0771 5.9259
angles (deg): 90.00 106.15 90.00
Positions (direct):
La1 0.0000 0.0000 0.0000
Pm1 0.0000 0.5000 0.5000
B1 0.5000 0.0000 0.5000
N1 0.3730 0.0000 0.6975
N2 0.6270 0.0000 0.3025

(4)
DFT (PBE) results for crystalline La3PmB2N6 at its relaxed geometry.

Summary:
ΔE_f (raw)	-1167.0	meV per atom
density of states at the Fermi level	0.03	states/eV per cell
SG	P-3m1, No. 164

a b c (Å): 5.7175 5.7175 6.5211
angles (deg): 90.00 90.00 120.00
Positions (direct):
La1 0.0000 0.0000 0.0000
La2 0.3333 0.6667 0.6705
La3 0.6667 0.3333 0.3295
Pm1 0.0000 0.0000 0.5000
B1 0.3333 0.6667 0.2491
B2 0.6667 0.3333 0.7509
N1 0.1864 0.3727 0.2699
N2 0.1864 0.8136 0.2699
N3 0.3727 0.1864 0.7301
N4 0.6273 0.8136 0.2699
N5 0.8136 0.1864 0.7301
N6 0.8136 0.6273 0.7301

(5)
DFT (PBE) results for crystalline LaPmB2N4 at its relaxed geometry.

Summary:
ΔE_f (raw)	-1154.1	meV per atom
SG	I422, No. 97

a b c (Å): 5.6632 5.6632 6.5246
angles (deg): 90.00 90.00 90.00
Positions (direct):
La1 0.0000 0.0000 0.0000
La2 0.5000 0.5000 0.5000
Pm1 0.0000 0.0000 0.5000
Pm2 0.5000 0.5000 0.0000
B1 0.0000 0.5000 0.2500
B2 0.0000 0.5000 0.7500
B3 0.5000 0.0000 0.2500
B4 0.5000 0.0000 0.7500
N1 0.1683 0.3317 0.7500
N2 0.1683 0.6683 0.2500
N3 0.3317 0.1683 0.2500
N4 0.3317 0.8317 0.7500
N5 0.6683 0.1683 0.7500
N6 0.6683 0.8317 0.2500
N7 0.8317 0.3317 0.2500
N8 0.8317 0.6683 0.7500

(6)
DFT (PBE) results for crystalline La3PrB2N6 at its relaxed geometry.

Summary:
ΔE_f (raw)	-1113.8	meV per atom
density of states at the Fermi level	0.04	states/eV per cell
SG	P-3m1, No. 164

a b c (Å): 5.7493 5.7493 6.5529
angles (deg): 90.00 90.00 120.00
Positions (direct):
La1 0.0000 0.0000 0.0000
La2 0.3333 0.6667 0.6716
La3 0.6667 0.3333 0.3284
Pr1 0.0000 0.0000 0.5000
B1 0.3333 0.6667 0.2468
B2 0.6667 0.3333 0.7532
N1 0.1872 0.3744 0.2664
N2 0.1872 0.8128 0.2664
N3 0.3744 0.1872 0.7336
N4 0.6256 0.8128 0.2664
N5 0.8128 0.1872 0.7336
N6 0.8128 0.6256 0.7336

(7)
DFT (PBE) results for crystalline La3PuB2N6 at its relaxed geometry.

Summary:
ΔE_f (raw)	-1123.4	meV per atom
density of states at the Fermi level	8.91	states/eV per cell
SG	P-3m1, No. 164

a b c (Å): 5.6694 5.6694 6.5350
angles (deg): 90.00 90.00 120.00
Positions (direct):
La1 0.0000 0.0000 0.0000
La2 0.3333 0.6667 0.6661
La3 0.6667 0.3333 0.3339
Pu1 0.0000 0.0000 0.5000
B1 0.3333 0.6667 0.2536
B2 0.6667 0.3333 0.7464
N1 0.1850 0.3699 0.2803
N2 0.1850 0.8150 0.2803
N3 0.3699 0.1850 0.7197
N4 0.6301 0.8150 0.2803
N5 0.8150 0.1850 0.7197
N6 0.8150 0.6301 0.7197

(8)
DFT (PBE) results for crystalline La3B2RhN6 at its relaxed geometry.

Summary:
ΔE_f (raw)	-880.3	meV per atom
density of states at the Fermi level	0.19	states/eV per cell
SG	P-3m1, No. 164

a b c (Å): 5.4021 5.4021 6.4709
angles (deg): 90.00 90.00 120.00
Positions (direct):
La1 0.0000 0.0000 0.0000
La2 0.3333 0.6667 0.6768
La3 0.6667 0.3333 0.3232
B1 0.3333 0.6667 0.2792
B2 0.6667 0.3333 0.7208
Rh1 0.0000 0.0000 0.5000
N1 0.1770 0.3541 0.2853
N2 0.1770 0.8230 0.2853
N3 0.3541 0.1770 0.7147
N4 0.6459 0.8230 0.2853
N5 0.8230 0.1770 0.7147
N6 0.8230 0.6459 0.7147

(9)
DFT (PBE) results for crystalline La3B2RuN6 at its relaxed geometry.

Summary:
ΔE_f (raw)	-901.5	meV per atom
density of states at the Fermi level	5.66	states/eV per cell
SG	P-3m1, No. 164

a b c (Å): 5.4191 5.4191 6.3824
angles (deg): 90.00 90.00 120.00
Positions (direct):
La1 0.0000 0.0000 0.0000
La2 0.3333 0.6667 0.6736
La3 0.6667 0.3333 0.3264
B1 0.3333 0.6667 0.2744
B2 0.6667 0.3333 0.7256
Ru1 0.0000 0.0000 0.5000
N1 0.1780 0.3559 0.2891
N2 0.1780 0.8220 0.2891
N3 0.3559 0.1780 0.7109
N4 0.6441 0.8220 0.2891
N5 0.8220 0.1780 0.7109
N6 0.8220 0.6441 0.7109

(10)
DFT (PBE) results for crystalline LaScBN2 at its relaxed geometry.

Summary:
ΔE_f (raw)	1080.1	meV per atom
density of states at the Fermi level	4.13	states/eV per cell
SG	P4/mmm, No. 123

a b c (Å): 4.2185 4.2185 4.7693
angles (deg): 90.00 90.00 90.00
Positions (direct):
La1 0.0000 0.0000 0.0000
Sc1 0.5000 0.5000 0.5000
B1 0.0000 0.0000 0.5000
N1 0.0000 0.5000 0.0000
N2 0.5000 0.0000 0.0000

(11)
DFT (PBE) results for crystalline La2BSeN at its relaxed geometry.

Summary:
ΔE_f (raw)	-487.2	meV per atom
density of states at the Fermi level	3.28	states/eV per cell
SG	P4/mmm, No. 123

a b c (Å): 5.3023 5.3023 3.4021
angles (deg): 90.00 90.00 90.00
Positions (direct):
La1 0.0000 0.5000 0.0000
La2 0.5000 0.0000 0.0000
B1 0.0000 0.0000 0.0000
Se1 0.5000 0.5000 0.5000
N1 0.0000 0.0000 0.5000

(12)
DFT (PBE) results for crystalline La3SiB2N6 at its relaxed geometry.

Summary:
ΔE_f (raw)	-1016.4	meV per atom
density of states at the Fermi level	1.44	states/eV per cell
SG	P-3m1, No. 164

a b c (Å): 5.2680 5.2680 6.4432
angles (deg): 90.00 90.00 120.00
Positions (direct):
La1 0.0000 0.0000 0.0000
La2 0.3333 0.6667 0.6757
La3 0.6667 0.3333 0.3243
Si1 0.0000 0.0000 0.5000
B1 0.3333 0.6667 0.2847
B2 0.6667 0.3333 0.7153
N1 0.1716 0.3432 0.3126
N2 0.1716 0.8284 0.3126
N3 0.3432 0.1716 0.6874
N4 0.6568 0.8284 0.3126
N5 0.8284 0.1716 0.6874
N6 0.8284 0.6568 0.6874

(13)
DFT (PBE) results for crystalline LaSmBN2 at its relaxed geometry.

Summary:
ΔE_f (raw)	-882.7	meV per atom
density of states at the Fermi level	2.81	states/eV per cell
SG	P2/m, No. 10

a b c (Å): 3.8486 4.0524 5.9367
angles (deg): 90.00 106.37 90.00
Positions (direct):
La1 0.0000 0.0000 0.0000
Sm1 0.0000 0.5000 0.5000
B1 0.5000 0.0000 0.5000
N1 0.3715 0.0000 0.6963
N2 0.6285 0.0000 0.3037

(14)
DFT (PBE) results for crystalline SrLa3B2N6 at its relaxed geometry.

Summary:
ΔE_f (raw)	-940.9	meV per atom
density of states at the Fermi level	5.63	states/eV per cell
SG	P-3m1, No. 164

a b c (Å): 5.7989 5.7989 6.4525
angles (deg): 90.00 90.00 120.00
Positions (direct):
Sr1 0.0000 0.0000 0.0000
La1 0.0000 0.0000 0.5000
La2 0.3333 0.6667 0.1578
La3 0.6667 0.3333 0.8422
B1 0.3333 0.6667 0.7378
B2 0.6667 0.3333 0.2622
N1 0.1898 0.3797 0.7627
N2 0.1898 0.8102 0.7627
N3 0.3797 0.1898 0.2373
N4 0.6203 0.8102 0.7627
N5 0.8102 0.1898 0.2373
N6 0.8102 0.6203 0.2373

(15)
DFT (PBE) results for crystalline La2TaB2N6 at its relaxed geometry.

Summary:
ΔE_f (raw)	-1143.2	meV per atom
density of states at the Fermi level	5.93	states/eV per cell
SG	R-3m, No. 166

a b c (Å): 6.1246 6.1246 6.1246
angles (deg): 51.80 51.80 51.80
Positions (direct):
La1 0.2237 0.2237 0.2237
La2 0.7763 0.7763 0.7763
Ta1 0.0000 0.0000 0.0000
B1 0.4164 0.4164 0.4164
B2 0.5836 0.5836 0.5836
N1 0.2568 0.2568 0.7271
N2 0.2568 0.7271 0.2568
N3 0.2729 0.7432 0.7432
N4 0.7271 0.2568 0.2568
N5 0.7432 0.2729 0.7432
N6 0.7432 0.7432 0.2729

(16)
DFT (PBE) results for crystalline La3TbB2N6 at its relaxed geometry.

Summary:
ΔE_f (raw)	-1241.9	meV per atom
density of states at the Fermi level	0.02	states/eV per cell
SG	P-3m1, No. 164

a b c (Å): 5.6668 5.6668 6.4756
angles (deg): 90.00 90.00 120.00
Positions (direct):
La1 0.0000 0.0000 0.0000
La2 0.3333 0.6667 0.6698
La3 0.6667 0.3333 0.3302
Tb1 0.0000 0.0000 0.5000
B1 0.3333 0.6667 0.2529
B2 0.6667 0.3333 0.7471
N1 0.1850 0.3700 0.2750
N2 0.1850 0.8150 0.2750
N3 0.3700 0.1850 0.7250
N4 0.6300 0.8150 0.2750
N5 0.8150 0.1850 0.7250
N6 0.8150 0.6300 0.7250

(17)
DFT (PBE) results for crystalline LaBTeN2 at its relaxed geometry.

Summary:
ΔE_f (raw)	1495.5	meV per atom
density of states at the Fermi level	3.46	states/eV per cell
SG	P4/mmm, No. 123
polymorph energy (0 for the lowest one)	500	meV per atom

a b c (Å): 4.0712 4.0712 7.1311
angles (deg): 90.00 90.00 90.00
Positions (direct):
La1 0.0000 0.0000 0.0000
B1 0.5000 0.5000 0.5000
Te1 0.0000 0.0000 0.5000
N1 0.0000 0.5000 0.0000
N2 0.5000 0.0000 0.0000

(18)
DFT (PBE) results for crystalline LaBTeN2 at its relaxed geometry.

Summary:
ΔE_f (raw)	995.8	meV per atom
density of states at the Fermi level	3.31	states/eV per cell
SG	P4/mmm, No. 123
polymorph energy (0 for the lowest one)	0	meV per atom

a b c (Å): 4.2404 4.2404 4.4148
angles (deg): 90.00 90.00 90.00
Positions (direct):
La1 0.0000 0.0000 0.0000
B1 0.5000 0.5000 0.5000
Te1 0.5000 0.5000 0.0000
N1 0.0000 0.5000 0.5000
N2 0.5000 0.0000 0.5000

(19)
DFT (PBE) results for crystalline LaTiB2N at its relaxed geometry.

Summary:
ΔE_f (raw)	3020.0	meV per atom
density of states at the Fermi level	4.38	states/eV per cell
SG	P4/mmm, No. 123

a b c (Å): 4.4309 4.4309 5.6029
angles (deg): 90.00 90.00 90.00
Positions (direct):
La1 0.0000 0.0000 0.0000
Ti1 0.0000 0.0000 0.5000
B1 0.0000 0.5000 0.0000
B2 0.5000 0.0000 0.0000
N1 0.5000 0.5000 0.5000

(20)
DFT (PBE) results for crystalline La3VB2N6 at its relaxed geometry.

Summary:
ΔE_f (raw)	-1131.8	meV per atom
density of states at the Fermi level	3.96	states/eV per cell
SG	P-3m1, No. 164

a b c (Å): 5.4297 5.4297 6.2995
angles (deg): 90.00 90.00 120.00
Positions (direct):
La1 0.0000 0.0000 0.0000
La2 0.3333 0.6667 0.6720
La3 0.6667 0.3333 0.3280
V1 0.0000 0.0000 0.5000
B1 0.3333 0.6667 0.2699
B2 0.6667 0.3333 0.7301
N1 0.1782 0.3564 0.2963
N2 0.1782 0.8218 0.2963
N3 0.3564 0.1782 0.7037
N4 0.6436 0.8218 0.2963
N5 0.8218 0.1782 0.7037
N6 0.8218 0.6436 0.7037

(21)
DFT (PBE) results for crystalline NaLaB2 at its relaxed geometry.

Summary:
density of states at the Fermi level	6.58	states/eV per cell
SG	I4_1/amd, No. 141
polymorph energy (0 for the lowest one)	212	meV per atom
formation enthalpy at 0 K	1.02	eV per atom

a b c (Å): 4.1149 4.1149 16.7237
angles (deg): 90.00 90.00 90.00
Positions (direct):
Na1 0.0000 0.2500 0.3750
Na2 0.0000 0.7500 0.6250
Na3 0.5000 0.2500 0.1250
Na4 0.5000 0.7500 0.8750
La1 0.0000 0.2500 0.8750
La2 0.0000 0.7500 0.1250
La3 0.5000 0.2500 0.6250
La4 0.5000 0.7500 0.3750
B1 0.0000 0.0000 0.5000
B2 0.0000 0.5000 0.5000
B3 0.2500 0.2500 0.2500
B4 0.2500 0.7500 0.7500
B5 0.5000 0.0000 0.0000
B6 0.5000 0.5000 0.0000
B7 0.7500 0.2500 0.2500
B8 0.7500 0.7500 0.7500

(22)
DFT (PBE) results for crystalline NaLa2B2 at its relaxed geometry.

Summary:
density of states at the Fermi level	7.09	states/eV per cell
SG	I4/mmm, No. 139
polymorph energy (0 for the lowest one)	40	meV per atom
formation enthalpy at 0 K	0.57	eV per atom

a b c (Å): 4.0756 4.0756 17.3465
angles (deg): 90.00 90.00 90.00
Positions (direct):
Na1 0.0000 0.0000 0.0000
Na2 0.5000 0.5000 0.5000
La1 0.0000 0.0000 0.3397
La2 0.0000 0.0000 0.6603
La3 0.5000 0.5000 0.1603
La4 0.5000 0.5000 0.8397
B1 0.0000 0.5000 0.2500
B2 0.0000 0.5000 0.7500
B3 0.5000 0.0000 0.2500
B4 0.5000 0.0000 0.7500

(23)
DFT (PBE) results for crystalline NaLaB3 at its relaxed geometry.

Summary:
density of states at the Fermi level	3.53	states/eV per cell
SG	Pm-3m, No. 221
polymorph energy (0 for the lowest one)	290	meV per atom
formation enthalpy at 0 K	1.98	eV per atom

a b c (Å): 4.9493 4.9493 4.9493
angles (deg): 90.00 90.00 90.00
Positions (direct):
Na1 0.0000 0.0000 0.0000
La1 0.5000 0.5000 0.5000
B1 0.0000 0.5000 0.5000
B2 0.5000 0.0000 0.5000
B3 0.5000 0.5000 0.0000

Results for E_tot: -4.37; -8.05; -7.48; -8.07; -8.20; -8.02; -8.83; -8.00; -8.18; -5.84; -6.16; -7.98; -7.48; -7.59; -8.87; -8.14; -4.78; -5.28; -3.88; -8.40; -3.88; -4.34; -3.28 (in eV/atom, following the order of the records).